Compound: LaHo3Tm3
Source: Alexandria
Functional: PBE-GGA
Structure: relaxed

Calculated values
Energy of formation ... 2.405 eV per formula unit

Cell lengths 12.313, 12.313, 3.665 Å; angles 90.00, 90.00, 120.00 degrees
Positions (direct):
1 La 0.333 0.667 0.250
2 La 0.667 0.333 0.750
3 Ho 0.098 0.487 0.750
4 Ho 0.389 0.902 0.750
5 Ho 0.487 0.389 0.250
6 Ho 0.513 0.611 0.750
7 Ho 0.611 0.098 0.250
8 Ho 0.902 0.513 0.250
9 Tm 0.081 0.773 0.750
10 Tm 0.227 0.308 0.750
11 Tm 0.308 0.081 0.250
12 Tm 0.692 0.919 0.750
13 Tm 0.773 0.692 0.250
14 Tm 0.919 0.227 0.250

---

Compound: LaZr2Ni
Source: Alexandria
Functional: PBE-GGA
Structure: relaxed

Calculated values
Energy of formation ... 1.013 eV per formula unit

Cell lengths 5.072, 5.072, 3.285 Å; angles 90.00, 90.00, 90.11 degrees
Positions (direct):
1 La 0.000 0.000 0.000
2 Zr 0.000 0.500 0.500
3 Zr 0.500 0.000 0.500
4 Ni 0.500 0.500 0.000

---

Compound: K2TlCd4Pb3
Source: Alexandria
Functional: PBE-GGA
Structure: relaxed

Calculated values
Energy of formation ... -0.754 eV per formula unit

Cell lengths 5.052, 5.052, 12.795 Å; angles 90.00, 90.00, 90.00 degrees
Positions (direct):
1 K 0.000 0.500 0.244
2 K 0.500 0.000 0.756
3 Tl 0.000 0.000 0.500
4 Cd 0.000 0.000 0.000
5 Cd 0.000 0.500 0.638
6 Cd 0.500 0.000 0.362
7 Cd 0.500 0.500 0.000
8 Pb 0.000 0.500 0.868
9 Pb 0.500 0.000 0.132
10 Pb 0.500 0.500 0.500

---

Compound: MgCuPt2
Source: Alexandria
Functional: PBE-GGA
Structure: relaxed

Calculated values
Energy of formation ... -1.706 eV per formula unit

Cell lengths 2.787, 3.970, 5.448 Å; angles 90.00, 90.00, 90.00 degrees
Positions (direct):
1 Mg 0.000 0.000 0.000
2 Cu 0.500 0.500 0.728
3 Pt 0.000 0.000 0.516
4 Pt 0.500 0.500 0.229

---

Compound: MnAgPb
Source: Alexandria
Functional: PBE-GGA
Structure: relaxed

Calculated values
Energy of formation ... 1.153 eV per formula unit

Cell lengths 5.176, 5.176, 5.176 Å; angles 142.73, 131.39, 62.81 degrees
Positions (direct):
1 Mn 0.000 0.000 0.000
2 Ag 0.343 0.343 0.000
3 Pb 0.671 0.671 0.000

---

Compound: K2CdBr4
Source: Alexandria
Functional: PBE-GGA
Structure: relaxed

Calculated values
Formation energy (no corrections) ... -1.368 eV per atom

Cell lengths 7.810, 7.757, 9.182 Å; angles 90.00, 107.70, 90.00 degrees
Positions (direct):
1 K 0.216 0.250 0.058
2 K 0.245 0.250 0.558
3 K 0.755 0.750 0.442
4 K 0.784 0.750 0.942
5 Cd 0.247 0.750 0.808
6 Cd 0.753 0.250 0.192
7 Br 0.009 0.004 0.747
8 Br 0.009 0.496 0.747
9 Br 0.441 0.750 0.621
10 Br 0.443 0.750 0.095
11 Br 0.557 0.250 0.905
12 Br 0.559 0.250 0.379
13 Br 0.991 0.504 0.253
14 Br 0.991 0.996 0.253

---

Compound: HgAuCl2
Source: Alexandria
Functional: PBE-GGA
Structure: relaxed

Calculated values
Formation energy (no corrections) ... -0.012 eV per atom

Cell lengths 5.127, 5.127, 5.027 Å; angles 114.70, 114.70, 98.26 degrees
Positions (direct):
1 Hg 0.000 0.000 0.000
2 Au 0.500 0.500 0.000
3 Cl 0.000 0.500 0.500
4 Cl 0.500 0.000 0.500

---

Compound: Nd5Ho6Er
Source: Alexandria
Functional: PBE-GGA
Structure: relaxed

Calculated values
Energy of formation ... 0.233 eV per formula unit

Cell lengths 9.494, 9.494, 9.494 Å; angles 148.93, 115.75, 73.08 degrees
Positions (direct):
1 Nd 0.000 0.000 0.000
2 Nd 0.167 0.667 0.500
3 Nd 0.335 0.335 0.000
4 Nd 0.665 0.665 0.000
5 Nd 0.833 0.333 0.500
6 Ho 0.085 0.834 0.251
7 Ho 0.252 0.500 0.752
8 Ho 0.417 0.166 0.251
9 Ho 0.583 0.834 0.749
10 Ho 0.748 0.500 0.248
11 Ho 0.915 0.166 0.749
12 Er 0.500 0.000 0.500

---

Compound: NpSn2Pb
Source: Alexandria
Functional: PBE-GGA
Structure: relaxed

Calculated values
Energy of formation ... 0.578 eV per formula unit

Cell lengths 11.980, 11.980, 11.980 Å; angles 15.73, 15.73, 15.73 degrees
Positions (direct):
1 Np 0.000 0.000 0.000
2 Sn 0.410 0.410 0.410
3 Sn 0.590 0.590 0.590
4 Pb 0.500 0.500 0.500

---

Compound: Cu2P3O9
Source: Alexandria
Functional: PBE-GGA
Structure: relaxed

Calculated values
Formation energy (no corrections) ... -1.638 eV per atom

Cell lengths 6.394, 6.394, 9.543 Å; angles 90.00, 90.00, 120.00 degrees
Positions (direct):
1 Cu 0.333 0.667 0.000
2 Cu 0.333 0.667 0.500
3 Cu 0.667 0.333 0.000
4 Cu 0.667 0.333 0.500
5 P 0.000 0.268 0.250
6 P 0.000 0.732 0.750
7 P 0.268 0.000 0.250
8 P 0.268 0.268 0.750
9 P 0.732 0.000 0.750
10 P 0.732 0.732 0.250
11 O 0.000 0.226 0.750
12 O 0.000 0.386 0.113
13 O 0.000 0.386 0.387
14 O 0.000 0.614 0.613
15 O 0.000 0.614 0.887
16 O 0.000 0.774 0.250
17 O 0.226 0.000 0.750
18 O 0.226 0.226 0.250
19 O 0.386 0.000 0.113
20 O 0.386 0.000 0.387
21 O 0.386 0.386 0.613
22 O 0.386 0.386 0.887
23 O 0.614 0.000 0.613
24 O 0.614 0.000 0.887
25 O 0.614 0.614 0.113
26 O 0.614 0.614 0.387
27 O 0.774 0.000 0.250
28 O 0.774 0.774 0.750

---

Compound: Pu2HfSc5
Source: Alexandria
Functional: PBE-GGA
Structure: relaxed

Calculated values
Energy of formation ... 1.410 eV per formula unit

Cell lengths 5.905, 5.905, 14.447 Å; angles 90.00, 90.00, 128.78 degrees
Positions (direct):
1 Pu 0.200 0.800 0.645
2 Pu 0.200 0.800 0.855
3 Pu 0.800 0.200 0.145
4 Pu 0.800 0.200 0.355
5 Hf 0.232 0.768 0.250
6 Hf 0.768 0.232 0.750
7 Sc 0.085 0.915 0.082
8 Sc 0.085 0.915 0.418
9 Sc 0.374 0.626 0.049
10 Sc 0.374 0.626 0.451
11 Sc 0.473 0.527 0.750
12 Sc 0.527 0.473 0.250
13 Sc 0.626 0.374 0.549
14 Sc 0.626 0.374 0.951
15 Sc 0.915 0.085 0.582
16 Sc 0.915 0.085 0.918

---

Compound: NaPmHg2
Source: Alexandria
Functional: PBE-GGA
Structure: relaxed

Calculated values
Energy of formation ... -0.865 eV per formula unit

Cell lengths 9.749, 9.749, 9.749 Å; angles 22.19, 22.19, 22.19 degrees
Positions (direct):
1 Na 0.000 0.000 0.000
2 Pm 0.833 0.833 0.833
3 Hg 0.249 0.249 0.249
4 Hg 0.417 0.417 0.417

---

Energy / eV/cell: -59.340 -26.792 -20.101 -19.478 -14.576 -38.753 -7.321 -55.635 -24.076 -183.947 -137.731 -7.538
Mass density / g cm⁻³: 7.9 7.5 6.9 13.2 9.9 3.2 7.7 8.0 10.3 3.6 7.5 8.2